Entry 1:
The following is a DFT calculation (GGA-PBE) of a relaxed CrOsCl2 crystal.

```
data_CrOsCl2
_space_group_name_H-M_alt 'P 1'
_space_group_IT_number 1
_cell_length_a 10.448
_cell_length_b 10.448
_cell_length_c 10.448
_cell_angle_alpha 16.03
_cell_angle_beta 16.03
_cell_angle_gamma 16.03
loop_
_space_group_symop_operation_xyz
'x,y,z'
loop_
_atom_site_label
_atom_site_type_symbol
_atom_site_fract_x
_atom_site_fract_y
_atom_site_fract_z
Os1 Os 0.750 0.750 0.750
Cl1 Cl 0.969 0.969 0.969
Cl2 Cl 0.531 0.531 0.531
Cr1 Cr 0.250 0.250 0.250
```

Values from the calculation:
Space-group type   R-3m
Crystal system   trigonal
Calculated density   6.86 g cm⁻³
V   18.95 Å³/atom
Formation energy (no corrections)   629 meV/atom

---

Entry 2:
The following is a DFT calculation (GGA-PBE) of a relaxed CrOsCl2 crystal.

```
data_CrOsCl2
_space_group_name_H-M_alt 'P 1'
_space_group_IT_number 1
_cell_length_a 2.936
_cell_length_b 5.527
_cell_length_c 4.099
_cell_angle_alpha 90.00
_cell_angle_beta 90.00
_cell_angle_gamma 90.00
loop_
_space_group_symop_operation_xyz
'x,y,z'
loop_
_atom_site_label
_atom_site_type_symbol
_atom_site_fract_x
_atom_site_fract_y
_atom_site_fract_z
Cl1 Cl 0.000 0.000 0.000
Cl2 Cl 0.500 0.500 0.000
Os1 Os 0.000 0.500 0.500
Cr1 Cr 0.500 0.000 0.500
```

Values from the calculation:
Space-group type   Pmmm
Crystal system   orthorhombic
Calculated density   7.82 g cm⁻³
V   16.63 Å³/atom
Formation energy (no corrections)   697 meV/atom